8
Lattice="11.496 0.000 0.000 0.000 3.167 0.000 -2.229 0.000 5.009" Properties=species:S:1:pos:R:3 comment="PBE TaTl2Hg, relaxed" total_energy_ev_per_atom=-3.75 pbc="T T T"
Ta 0.000 0.000 0.000
Ta 5.748 1.584 0.000
Tl -0.829 1.584 2.445
Tl 2.641 1.584 0.420
Tl 4.919 0.000 2.445
Tl 8.389 0.000 0.420
Hg 1.920 0.000 3.068
Hg 7.668 1.584 3.068

4
Lattice="3.858 0.000 0.000 0.000 3.858 0.000 0.000 0.000 6.229" Properties=species:S:1:pos:R:3 comment="PBE TaTl2Hg, relaxed" total_energy_ev_per_atom=-3.55 pbc="T T T"
Ta 0.000 0.000 0.000
Tl 1.929 1.929 1.473
Tl 1.929 1.929 4.756
Hg 0.000 0.000 3.114

8
Lattice="15.393 0.000 0.000 0.000 2.984 0.000 -1.620 0.000 4.736" Properties=species:S:1:pos:R:3 comment="PBE TaTl2Hg, relaxed" total_energy_ev_per_atom=-3.71 pbc="T T T"
Ta 0.000 0.000 0.000
Ta 7.696 1.492 0.000
Tl 2.507 1.492 0.863
Tl 3.569 0.000 3.874
Tl 10.204 0.000 0.863
Tl 11.266 1.492 3.874
Hg -0.810 1.492 2.368
Hg 6.886 0.000 2.368

4
Lattice="3.090 0.000 0.000 0.000 5.452 0.000 0.000 0.000 5.548" Properties=species:S:1:pos:R:3 comment="PBE TaTl2Hg, relaxed" total_energy_ev_per_atom=-3.66 pbc="T T T"
Ta 0.000 0.000 0.000
Tl 0.000 2.726 2.774
Tl 1.545 2.726 0.000
Hg 1.545 0.000 2.774

Computed values of energy above the most stable polymorph in this dataset (unit: meV/atom) for the preceding records, in sequence: 59; 253; 100; 150.
Computed values of M_tot (unit: μB per formula unit) for the preceding records, in sequence: 0.00; 0.00; 0.00; 0.00.
Computed values of energy relative to the elements (unit: eV per atom) for the preceding records, in sequence: 0.47; 0.67; 0.52; 0.56.